MgCrTeO6 | PBE with a Hubbard U | relaxed

Calculated values
DOS at the Fermi energy (states/eV/atom): 0.2854
SG: P-31c (163)
Calculated volume (Å³ per atom): 10.8
Uncorrected energy (eV/atom): -6.16
Density (g/cm3): 5.10

a = 5.122 Å, b = 5.122 Å, c = 8.590 Å
α = 90.00°, β = 90.00°, γ = 120.00°
Fractional coordinates of all 18 atoms:
1 Mg 0.333 0.667 0.250
2 Mg 0.667 0.333 0.750
3 Cr 0.000 0.000 0.000
4 Cr 0.000 0.000 0.500
5 Te 0.333 0.667 0.750
6 Te 0.667 0.333 0.250
7 O 0.017 0.342 0.627
8 O 0.017 0.675 0.873
9 O 0.325 0.342 0.873
10 O 0.325 0.983 0.627
11 O 0.342 0.017 0.127
12 O 0.342 0.325 0.373
13 O 0.658 0.675 0.627
14 O 0.658 0.983 0.873
15 O 0.675 0.017 0.373
16 O 0.675 0.658 0.127
17 O 0.983 0.325 0.127
18 O 0.983 0.658 0.373